[1]
Density functional theory data (PBE-GGA) for crystalline Hf2InAu at its relaxed geometry.

Unit cell a=3.1000 b=3.1000 c=8.5128 alpha=90.00 beta=90.00 gamma=90.00
Space group P4/mmm (No. 123)
Asymmetric unit:
Hf: 0.0000 0.0000 0.2360
In: 0.5000 0.5000 0.5000
Au: 0.5000 0.5000 0.0000

Summary:
**E_form**: -0.306 eV/atom
**ρ**: 13.57 g/cm³

[2]
Density functional theory data (PBE-GGA) for crystalline HfInAu4 at its relaxed geometry.

Unit cell a=9.4136 b=3.6939 c=7.1128 alpha=90.00 beta=111.36 gamma=90.00
Space group C2/m (No. 12)
Asymmetric unit:
Hf: 0.0000 0.0000 0.0000
In: 0.0000 0.0000 0.5000
Au: 0.1650 0.5000 0.3220
Au: 0.1649 0.5000 0.8431

Summary:
**E_form**: -0.380 eV/atom
**ρ**: 15.59 g/cm³

[3]
Density functional theory data (PBE-GGA) for crystalline Hf2InAu2 at its relaxed geometry.

Unit cell a=4.1316 b=4.1316 c=13.4236 alpha=90.00 beta=90.00 gamma=90.00
Space group I4/mmm (No. 139)
Asymmetric unit:
Hf: 0.0000 0.0000 0.1085
In: 0.0000 0.0000 0.5000
Au: 0.0000 0.5000 0.2500

Summary:
**E_form**: 0.067 eV/atom
**ρ**: 12.55 g/cm³

[4]
Density functional theory data (PBE-GGA) for crystalline Hf2InAu at its relaxed geometry.

Unit cell a=7.7545 b=7.7545 c=6.0509 alpha=90.00 beta=90.00 gamma=90.00
Space group I-42d (No. 122)
Asymmetric unit:
Hf: 0.2217 0.2500 0.1250
In: 0.0000 0.0000 0.5000
Au: 0.0000 0.0000 0.0000

Summary:
**E_form**: 0.051 eV/atom
**ρ**: 12.21 g/cm³

[5]
Density functional theory data (PBE-GGA) for crystalline HfInAu3 at its relaxed geometry.

Unit cell a=5.2800 b=5.2800 c=5.2800 alpha=90.00 beta=90.00 gamma=90.00
Space group Pm-3m (No. 221)
Asymmetric unit:
Hf: 0.0000 0.0000 0.0000
In: 0.5000 0.5000 0.5000
Au: 0.0000 0.0000 0.5000

Summary:
**E_form**: 0.415 eV/atom
**ρ**: 9.97 g/cm³
**Energy relative to the lowest polymorph listed for this composition**: 0.000 eV/atom

[6]
Density functional theory data (PBE-GGA) for crystalline HfIn3Au at its relaxed geometry.

Unit cell a=5.2190 b=5.2190 c=5.2190 alpha=90.00 beta=90.00 gamma=90.00
Space group Pm-3m (No. 221)
Asymmetric unit:
Hf: 0.0000 0.0000 0.0000
In: 0.0000 0.5000 0.5000
Au: 0.5000 0.5000 0.5000

Summary:
**E_form**: 0.614 eV/atom
**ρ**: 8.41 g/cm³
**Energy relative to the lowest polymorph listed for this composition**: 0.000 eV/atom

[7]
Density functional theory data (PBE-GGA) for crystalline Hf4InAu at its relaxed geometry.

Unit cell a=3.1713 b=3.1713 c=12.8277 alpha=90.00 beta=90.00 gamma=90.00
Space group P4/mmm (No. 123)
Asymmetric unit:
Hf: 0.0000 0.0000 0.1538
Hf: 0.5000 0.5000 0.3181
In: 0.0000 0.0000 0.5000
Au: 0.5000 0.5000 0.0000

Summary:
**E_form**: -0.289 eV/atom
**ρ**: 13.20 g/cm³

[8]
Density functional theory data (PBE-GGA) for crystalline Hf2InAu6 at its relaxed geometry.

Unit cell a=5.0720 b=15.3989 c=5.0365 alpha=90.00 beta=119.70 gamma=90.00
Space group C2/m (No. 12)
Asymmetric unit:
Hf: 0.0000 0.1636 0.0000
In: 0.0000 0.0000 0.5000
Au: 0.1631 0.3317 0.3290
Au: 0.1685 0.5000 0.8307

Summary:
**E_form**: -0.412 eV/atom
**ρ**: 16.07 g/cm³

[9]
Density functional theory data (PBE-GGA) for crystalline Hf2In2Au at its relaxed geometry.

Unit cell a=7.0060 b=7.0060 c=4.4220 alpha=90.00 beta=90.00 gamma=90.00
Space group P4/mbm (No. 127)
Asymmetric unit:
Hf: 0.1614 0.3386 0.0000
In: 0.1410 0.6410 0.5000
Au: 0.0000 0.0000 0.5000

Summary:
**E_form**: -0.065 eV/atom
**ρ**: 11.99 g/cm³
**Energy relative to the lowest polymorph listed for this composition**: 0.000 eV/atom

[10]
Density functional theory data (PBE-GGA) for crystalline Hf2InAu at its relaxed geometry.

Unit cell a=4.3515 b=4.3515 c=4.3012 alpha=90.00 beta=90.00 gamma=90.00
Space group P4/mmm (No. 123)
Asymmetric unit:
Hf: 0.0000 0.5000 0.0000
In: 0.0000 0.0000 0.5000
Au: 0.5000 0.5000 0.5000

Summary:
**E_form**: -0.284 eV/atom
**ρ**: 13.64 g/cm³

[11]
Density functional theory data (PBE-GGA) for crystalline HfIn3Au at its relaxed geometry.

Unit cell a=5.5754 b=5.5754 c=5.5754 alpha=90.00 beta=90.00 gamma=90.00
Space group Pm-3m (No. 221)
Asymmetric unit:
Hf: 0.0000 0.0000 0.0000
In: 0.0000 0.0000 0.5000
Au: 0.5000 0.5000 0.5000

Summary:
**E_form**: 0.840 eV/atom
**ρ**: 6.90 g/cm³
**Energy relative to the lowest polymorph listed for this composition**: 0.226 eV/atom

[12]
Density functional theory data (PBE-GGA) for crystalline Hf4In5Au2 at its relaxed geometry.

Unit cell a=7.6396 b=3.1229 c=9.8563 alpha=90.00 beta=94.39 gamma=90.00
Space group P2/m (No. 10)
Asymmetric unit:
Hf: 0.1705 0.0000 0.3819
Hf: 0.2615 0.0000 0.9435
In: 0.1823 0.5000 0.6578
In: 0.4443 0.5000 0.1907
In: 0.5000 0.5000 0.5000
Au: 0.0647 0.5000 0.1381

Summary:
**E_form**: -0.254 eV/atom
**ρ**: 11.91 g/cm³

[13]
Density functional theory data (PBE-GGA) for crystalline Hf6InAu at its relaxed geometry.

Unit cell a=7.8123 b=7.8123 c=9.5674 alpha=90.00 beta=90.00 gamma=120.00
Space group R-3 (No. 148, hexagonal axes)
Asymmetric unit:
Hf: 0.0021 0.7507 0.2509
In: 0.0000 0.0000 0.0000
Au: 0.0000 0.0000 0.5000

Summary:
**E_form**: -0.189 eV/atom
**ρ**: 13.62 g/cm³

[14]
Density functional theory data (PBE-GGA) for crystalline Hf6In3Au at its relaxed geometry.

Unit cell a=9.1478 b=16.6777 c=5.8478 alpha=90.00 beta=90.00 gamma=90.00
Space group Cmc2_1 (No. 36)
Asymmetric unit:
Hf: 0.0000 0.0125 0.0000
Hf: 0.0000 0.2797 0.6057
Hf: 0.1763 0.2470 0.0312
Hf: 0.1875 0.4278 0.7221
In: 0.0000 0.4121 0.1993
In: 0.1927 0.1066 0.7203
Au: 0.0000 0.1481 0.3164

Summary:
**E_form**: -0.025 eV/atom
**ρ**: 12.00 g/cm³

[15]
Density functional theory data (PBE-GGA) for crystalline Hf7In2Au2 at its relaxed geometry.

Unit cell a=8.9322 b=10.3797 c=5.7351 alpha=90.00 beta=113.56 gamma=90.00
Space group C2/m (No. 12)
Asymmetric unit:
Hf: 0.0000 0.0000 0.0000
Hf: 0.1794 0.5000 0.4754
Hf: 0.1795 0.2464 0.2070
In: 0.0000 0.1440 0.5000
Au: 0.1432 0.5000 0.9343

Summary:
**E_form**: 0.035 eV/atom
**ρ**: 12.76 g/cm³

[16]
Density functional theory data (PBE-GGA) for crystalline Hf2InAu at its relaxed geometry.

Unit cell a=4.3666 b=4.3666 c=17.5987 alpha=90.00 beta=90.00 gamma=120.00
Space group R3m (No. 160, hexagonal axes)
Asymmetric unit:
Hf: 0.0000 0.0000 0.0000
Hf: 0.0000 0.0000 0.2019
In: 0.0000 0.0000 0.7747
Au: 0.0000 0.0000 0.6051

Summary:
**E_form**: 0.051 eV/atom
**ρ**: 11.46 g/cm³

[17]
Density functional theory data (PBE-GGA) for crystalline HfInAu6 at its relaxed geometry.

Unit cell a=9.3753 b=4.2381 c=8.3600 alpha=90.00 beta=115.73 gamma=90.00
Space group C2/m (No. 12)
Asymmetric unit:
Hf: 0.0000 0.0000 0.0000
In: 0.0000 0.0000 0.5000
Au: 0.0022 0.5000 0.2475
Au: 0.2448 0.0000 0.3661
Au: 0.2447 0.5000 0.1174

Summary:
**E_form**: -0.287 eV/atom
**ρ**: 16.37 g/cm³

[18]
Density functional theory data (PBE-GGA) for crystalline Hf5In2Au2 at its relaxed geometry.

Unit cell a=5.5202 b=16.8051 c=8.2994 alpha=90.00 beta=90.00 gamma=90.00
Space group Imma (No. 74)
Asymmetric unit:
Hf: 0.0000 0.1601 0.1138
Hf: 0.0000 0.2500 0.4790
Hf: 0.2500 0.0954 0.7500
In: 0.0000 0.0730 0.4136
Au: 0.0000 0.0000 0.0000
Au: 0.0000 0.2500 0.8278

Summary:
**E_form**: -0.149 eV/atom
**ρ**: 13.08 g/cm³

[19]
Density functional theory data (PBE-GGA) for crystalline Hf2In2Au at its relaxed geometry.

Unit cell a=7.1603 b=7.1603 c=4.5977 alpha=90.00 beta=90.00 gamma=90.00
Space group P4/mbm (No. 127)
Asymmetric unit:
Hf: 0.1507 0.3493 0.0000
In: 0.1545 0.6545 0.5000
Au: 0.0000 0.0000 0.0000

Summary:
**E_form**: 0.016 eV/atom
**ρ**: 11.04 g/cm³
**Energy relative to the lowest polymorph listed for this composition**: 0.081 eV/atom

[20]
Density functional theory data (PBE-GGA) for crystalline LaHf2InAu at its relaxed geometry.

Unit cell a=5.2524 b=5.2524 c=5.8478 alpha=90.00 beta=90.00 gamma=90.00
Space group P4/mmm (No. 123)
Asymmetric unit:
La: 0.0000 0.0000 0.0000
Hf: 0.0000 0.5000 0.5000
In: 0.0000 0.0000 0.5000
Au: 0.5000 0.5000 0.0000

Summary:
**E_form**: 1.008 eV/atom
**ρ**: 8.31 g/cm³

[21]
Density functional theory data (PBE-GGA) for crystalline LuHfInAu at its relaxed geometry.

Unit cell a=7.0729 b=7.0729 c=7.0729 alpha=90.00 beta=90.00 gamma=90.00
Space group F-43m (No. 216)
Asymmetric unit:
Lu: 0.0000 0.0000 0.0000
Hf: 0.0000 0.0000 0.5000
In: 0.2500 0.2500 0.2500
Au: 0.2500 0.2500 0.7500

Summary:
**E_form**: -0.346 eV/atom
**ρ**: 12.49 g/cm³

[22]
Density functional theory data (PBE-GGA) for crystalline Hf2NbInAu at its relaxed geometry.

Unit cell a=5.0272 b=5.0272 c=5.2055 alpha=90.00 beta=90.00 gamma=90.00
Space group P4/mmm (No. 123)
Asymmetric unit:
Hf: 0.0000 0.5000 0.0000
Nb: 0.0000 0.0000 0.0000
In: 0.5000 0.5000 0.5000
Au: 0.0000 0.0000 0.5000

Summary:
**E_form**: 0.876 eV/atom
**ρ**: 9.61 g/cm³

[23]
Density functional theory data (PBE-GGA) for crystalline HfInPdAu at its relaxed geometry.

Unit cell a=6.6850 b=6.6850 c=6.6850 alpha=90.00 beta=90.00 gamma=90.00
Space group F-43m (No. 216)
Asymmetric unit:
Hf: 0.0000 0.0000 0.0000
In: 0.0000 0.0000 0.5000
Pd: 0.2500 0.2500 0.7500
Au: 0.2500 0.2500 0.2500

Summary:
**E_form**: -0.548 eV/atom
**ρ**: 13.27 g/cm³

[24]
Density functional theory data (PBE-GGA) for crystalline HfIn2PtAu at its relaxed geometry.

Unit cell a=5.2023 b=5.2023 c=5.6136 alpha=90.00 beta=90.00 gamma=90.00
Space group P4/mmm (No. 123)
Asymmetric unit:
Hf: 0.0000 0.0000 0.0000
In: 0.0000 0.5000 0.5000
Pt: 0.5000 0.5000 0.0000
Au: 0.0000 0.0000 0.5000

Summary:
**E_form**: 0.687 eV/atom
**ρ**: 8.75 g/cm³

[25]
Density functional theory data (PBE-GGA) for crystalline HfInAu2S at its relaxed geometry.

Unit cell a=4.8180 b=4.8180 c=4.7871 alpha=90.00 beta=90.00 gamma=90.00
Space group P4/mmm (No. 123)
Asymmetric unit:
Hf: 0.0000 0.0000 0.0000
In: 0.5000 0.5000 0.0000
Au: 0.0000 0.5000 0.5000
S: 0.0000 0.0000 0.5000

Summary:
**Formation energy from raw total energies**: 0.09 eV/atom
**ρ**: 10.75 g/cm³

| no. | energy (eV per atom) |
| --- | --- |
| 1 | -6.787 |
| 2 | -4.680 |
| 3 | -5.773 |
| 4 | -6.430 |
| 5 | -4.089 |
| 6 | -3.675 |
| 7 | -7.928 |
| 8 | -5.113 |
| 9 | -5.797 |
| 10 | -6.764 |
| 11 | -3.449 |
| 12 | -5.714 |
| 13 | -8.406 |
| 14 | -7.146 |
| 15 | -7.393 |
| 16 | -6.430 |
| 17 | -4.332 |
| 18 | -7.015 |
| 19 | -5.717 |
| 20 | -5.162 |
| 21 | -5.469 |
| 22 | -6.322 |
| 23 | -5.839 |
| 24 | -4.262 |
| 25 | -4.581 |